LaBIN2 after structural relaxation. Source: Alexandria, functional GGA-PBE.

a = 4.290 Å, b = 4.290 Å, c = 6.972 Å
α = 90.00°, β = 90.00°, γ = 90.00°
Element x y z (fractional)
La: 0.000 0.000 0.000
B: 0.500 0.500 0.500
I: 0.000 0.000 0.500
N: 0.000 0.500 0.000
N: 0.500 0.000 0.000

Output
Crystal system = tetragonal
Formation energy from raw total energies = 1405 meV/atom

Sm2Al5Cu4 after structural relaxation. Source: Alexandria, functional GGA-PBE.

a = 8.858 Å, b = 7.964 Å, c = 5.514 Å
α = 79.93°, β = 62.27°, γ = 37.80°
Element x y z (fractional)
Sm: 0.134 0.134 0.866
Sm: 0.866 0.866 0.134
Al: 0.000 0.000 0.500
Al: 0.250 0.250 0.250
Al: 0.500 0.500 0.000
Al: 0.500 0.500 0.500
Al: 0.750 0.750 0.750
Cu: 0.223 0.507 0.493
Cu: 0.493 0.777 0.223
Cu: 0.507 0.223 0.777
Cu: 0.777 0.493 0.507

Output
Crystal system = orthorhombic
ΔH_f (0 K) = -0.350 eV per atom

Number 1: total DFT energy (no corrections) -22.8 eV for the cell shown. Number 2: total DFT energy (no corrections) -48.4 eV for the cell shown.